1.
Density functional theory data (GGA-PBE) for a relaxed MgPBr2 crystal.

```
MgPBr2
1.0
3.3080 0.0000 0.0000
0.0000 3.3078 0.0000
0.0000 0.0000 10.3597
P Mg Br
1 1 2
Direct
0.5000 0.5000 0.7500
0.5000 0.5000 0.2500
0.0000 0.0000 0.4088
0.0000 0.0000 0.0912
```

Results
For the raw formation energy, the calculation gives -0.061 eV per atom.



2.
Density functional theory data (GGA-PBE) for a relaxed CaCe2Al crystal.

```
CaCe2Al
1.0
3.5033 0.0000 0.0000
1.7516 3.0339 0.0000
1.7516 1.0113 11.3670
Ca Ce Al
1 2 1
Direct
0.5000 0.5000 0.5000
0.7357 0.7357 0.7928
0.2643 0.2643 0.2072
0.0000 0.0000 0.0000
```

Results
Its formation energy is 0.116 eV/atom.



What did the first record say?
Density functional theory data (GGA-PBE) for a relaxed MgPBr2 crystal.

```
MgPBr2
1.0
3.3080 0.0000 0.0000
0.0000 3.3078 0.0000
0.0000 0.0000 10.3597
P Mg Br
1 1 2
Direct
0.5000 0.5000 0.7500
0.5000 0.5000 0.2500
0.0000 0.0000 0.4088
0.0000 0.0000 0.0912
```

Results
For the raw formation energy, the calculation gives -0.061 eV per atom.